1.
Below is an optimized crystal structure of HfRh, with properties calculated at the PBE-GGA level.

Computed properties:
E_form = 0.4326 eV per atom
Uncorrected energy = -8.22 eV per atom
N(E_F) = 1.805 states/eV/f.u.

```
data_HfRh
_cell_length_a 7.217
_cell_length_b 7.217
_cell_length_c 7.217
_cell_angle_alpha 90.00
_cell_angle_beta 90.00
_cell_angle_gamma 90.00
_symmetry_space_group_name_H-M 'P m -3 n'
_symmetry_Int_Tables_number 223
_symmetry_space_group_name_Hall '-P 4n 2 3'
loop_
_atom_site_label
_atom_site_fract_x
_atom_site_fract_y
_atom_site_fract_z
Hf1 0.000 0.250 0.500
Rh1 0.000 0.500 0.250
```

2.
Below is an optimized crystal structure of As2PtBr8, with properties calculated at the PBE-GGA level.

Computed properties:
Uncorrected energy = -2.83 eV per atom
E_form (uncorrected) = -2.391 eV/f.u.
N(E_F) = 1.077 states/eV/f.u.

```
data_As2PtBr8
_cell_length_a 12.516
_cell_length_b 9.897
_cell_length_c 7.619
_cell_angle_alpha 90.00
_cell_angle_beta 111.04
_cell_angle_gamma 90.00
_symmetry_space_group_name_H-M 'C 1 2/m 1'
_symmetry_Int_Tables_number 12
loop_
_symmetry_equiv_pos_as_xyz
'x,y,z'
'-x,-y,-z'
'-x,y,-z'
'x,-y,z'
'x+1/2,y+1/2,z'
'-x+1/2,-y+1/2,-z'
'-x+1/2,y+1/2,-z'
'x+1/2,-y+1/2,z'
loop_
_atom_site_label
_atom_site_fract_x
_atom_site_fract_y
_atom_site_fract_z
As1 0.151 0.000 0.117
Pt1 0.000 0.000 0.500
Br1 0.085 0.174 0.293
Br2 0.150 0.500 0.720
Br3 0.190 0.000 0.750
```

3.
Below is an optimized crystal structure of Pm2Cu3NiAs4, with properties calculated at the PBE-GGA level.

Computed properties:
E_form = -0.6294 eV per atom
Uncorrected energy = -5.25 eV per atom
N(E_F) = 1.208 states/eV/f.u.

```
data_Pm2Cu3NiAs4
_cell_length_a 4.221
_cell_length_b 4.221
_cell_length_c 9.951
_cell_angle_alpha 90.00
_cell_angle_beta 90.00
_cell_angle_gamma 90.00
_symmetry_space_group_name_H-M 'P -4 m 2'
_symmetry_Int_Tables_number 115
loop_
_symmetry_equiv_pos_as_xyz
'x,y,z'
'y,-x,-z'
'-x,-y,z'
'-y,x,-z'
'-x,y,z'
'-y,-x,-z'
'x,-y,z'
'y,x,-z'
loop_
_atom_site_label
_atom_site_fract_x
_atom_site_fract_y
_atom_site_fract_z
Pm1 0.000 0.500 0.240
Cu1 0.000 0.000 0.000
Cu2 0.000 0.500 0.633
Ni1 0.500 0.500 0.000
As1 0.000 0.000 0.500
As2 0.000 0.500 0.871
As3 0.500 0.500 0.500
```